Record 1
Density functional theory data (GGA-PBE) for an optimized crystal structure of PmNiSnIr.

Summary:
* total energy: -0.229 Ha/atom
* symmetry: F-43m
* E_form: -0.3805 eV/atom
* spin magnetization: 0.00 μB per formula unit

```
data_PmNiSnIr
_space_group_name_H-M_alt 'P 1'
_space_group_IT_number 1
_space_group_name_Hall 'P 1'
_cell_length_a 4.750
_cell_length_b 4.750
_cell_length_c 4.750
_cell_angle_alpha 60.00
_cell_angle_beta 60.00
_cell_angle_gamma 60.00
loop_
_atom_site_label
_atom_site_type_symbol
_atom_site_fract_x
_atom_site_fract_y
_atom_site_fract_z
Ni1 Ni 0.250 0.250 0.250
Sn1 Sn 0.500 0.500 0.500
Ir1 Ir 0.750 0.750 0.750
Pm1 Pm 0.000 0.000 0.000
```

Record 2
Density functional theory data (GGA-PBE) for an optimized crystal structure of SrPmNiIr.

Summary:
* total energy: -0.200 Ha/atom
* symmetry: F-43m
* E_form: -0.1642 eV/atom
* spin magnetization: 0.00 μB per formula unit

```
data_SrPmNiIr
_space_group_name_H-M_alt 'P 1'
_space_group_IT_number 1
_space_group_name_Hall 'P 1'
_cell_length_a 5.014
_cell_length_b 5.014
_cell_length_c 5.014
_cell_angle_alpha 60.00
_cell_angle_beta 60.00
_cell_angle_gamma 60.00
loop_
_atom_site_label
_atom_site_type_symbol
_atom_site_fract_x
_atom_site_fract_y
_atom_site_fract_z
Pm1 Pm 0.500 0.500 0.500
Ni1 Ni 0.750 0.750 0.750
Ir1 Ir 0.250 0.250 0.250
Sr1 Sr 0.000 0.000 0.000
```

Record 3
Density functional theory data (GGA-PBE) for an optimized crystal structure of PmThNiIr.

Summary:
* total energy: -0.269 Ha/atom
* symmetry: Amm2
* E_form: -0.6284 eV/atom
* spin magnetization: 0.00 μB per formula unit

```
data_PmThNiIr
_space_group_name_H-M_alt 'P 1'
_space_group_IT_number 1
_space_group_name_Hall 'P 1'
_cell_length_a 3.848
_cell_length_b 4.490
_cell_length_c 5.545
_cell_angle_alpha 90.00
_cell_angle_beta 110.31
_cell_angle_gamma 90.00
loop_
_atom_site_label
_atom_site_type_symbol
_atom_site_fract_x
_atom_site_fract_y
_atom_site_fract_z
Ir1 Ir 0.580 0.500 0.161
Pm1 Pm 0.140 0.000 0.279
Ni1 Ni 0.416 0.000 0.832
Th1 Th 0.864 0.500 0.728
```

Record 4
Density functional theory data (GGA-PBE) for an optimized crystal structure of PmThNiIr.

Summary:
* total energy: -0.265 Ha/atom
* symmetry: F-43m
* E_form: -0.4980 eV/atom
* spin magnetization: 0.00 μB per formula unit

```
data_PmThNiIr
_space_group_name_H-M_alt 'P 1'
_space_group_IT_number 1
_space_group_name_Hall 'P 1'
_cell_length_a 4.989
_cell_length_b 4.989
_cell_length_c 4.989
_cell_angle_alpha 60.00
_cell_angle_beta 60.00
_cell_angle_gamma 60.00
loop_
_atom_site_label
_atom_site_type_symbol
_atom_site_fract_x
_atom_site_fract_y
_atom_site_fract_z
Ni1 Ni 0.250 0.250 0.250
Pm1 Pm 0.000 0.000 0.000
Ir1 Ir 0.750 0.750 0.750
Th1 Th 0.500 0.500 0.500
```

Record 5
Density functional theory data (GGA-PBE) for an optimized crystal structure of PmTmNiIr.

Summary:
* total energy: -0.242 Ha/atom
* symmetry: Amm2
* E_form: -0.6192 eV/atom
* spin magnetization: 0.00 μB per formula unit

```
data_PmTmNiIr
_space_group_name_H-M_alt 'P 1'
_space_group_IT_number 1
_space_group_name_Hall 'P 1'
_cell_length_a 3.885
_cell_length_b 4.088
_cell_length_c 5.700
_cell_angle_alpha 90.00
_cell_angle_beta 109.93
_cell_angle_gamma 90.00
loop_
_atom_site_label
_atom_site_type_symbol
_atom_site_fract_x
_atom_site_fract_y
_atom_site_fract_z
Ir1 Ir 0.422 0.000 0.843
Pm1 Pm 0.145 0.000 0.290
Tm1 Tm 0.861 0.500 0.722
Ni1 Ni 0.572 0.500 0.144
```

Record 6
Density functional theory data (GGA-PBE) for an optimized crystal structure of PmTmNiIr.

Summary:
* total energy: -0.241 Ha/atom
* symmetry: F-43m
* E_form: -0.5807 eV/atom
* spin magnetization: 0.00 μB per formula unit

```
data_PmTmNiIr
_space_group_name_H-M_alt 'P 1'
_space_group_IT_number 1
_space_group_name_Hall 'P 1'
_cell_length_a 4.857
_cell_length_b 4.857
_cell_length_c 4.857
_cell_angle_alpha 60.00
_cell_angle_beta 60.00
_cell_angle_gamma 60.00
loop_
_atom_site_label
_atom_site_type_symbol
_atom_site_fract_x
_atom_site_fract_y
_atom_site_fract_z
Pm1 Pm 0.000 0.000 0.000
Ni1 Ni 0.250 0.250 0.250
Tm1 Tm 0.500 0.500 0.500
Ir1 Ir 0.750 0.750 0.750
```

Record 7
Density functional theory data (GGA-PBE) for an optimized crystal structure of PmUNiIr.

Summary:
* total energy: -0.290 Ha/atom
* symmetry: F-43m
* E_form: -0.2303 eV/atom
* spin magnetization: 2.31 μB per formula unit

```
data_PmUNiIr
_space_group_name_H-M_alt 'P 1'
_space_group_IT_number 1
_space_group_name_Hall 'P 1'
_cell_length_a 4.865
_cell_length_b 4.865
_cell_length_c 4.865
_cell_angle_alpha 60.00
_cell_angle_beta 60.00
_cell_angle_gamma 60.00
loop_
_atom_site_label
_atom_site_type_symbol
_atom_site_fract_x
_atom_site_fract_y
_atom_site_fract_z
Ir1 Ir 0.500 0.500 0.500
U1 U 0.250 0.250 0.250
Ni1 Ni 0.000 0.000 0.000
Pm1 Pm 0.750 0.750 0.750
```

Record 8
Density functional theory data (GGA-PBE) for an optimized crystal structure of Pm2Zn2Ni5Ir.

Summary:
* total energy: -0.189 Ha/atom
* symmetry: P4/mbm
* E_form: -0.1484 eV/atom
* spin magnetization: 0.32 μB per formula unit

```
data_Pm2Zn2Ni5Ir
_space_group_name_H-M_alt 'P 1'
_space_group_IT_number 1
_space_group_name_Hall 'P 1'
_cell_length_a 3.676
_cell_length_b 9.212
_cell_length_c 9.212
_cell_angle_alpha 90.00
_cell_angle_beta 90.00
_cell_angle_gamma 90.00
loop_
_atom_site_label
_atom_site_type_symbol
_atom_site_fract_x
_atom_site_fract_y
_atom_site_fract_z
Ni1 Ni 0.500 0.054 0.800
Ni2 Ni 0.500 0.500 0.000
Ni3 Ni 0.500 0.554 0.700
Ni4 Ni 0.500 0.000 0.500
Ni5 Ni 0.500 0.700 0.446
Ni6 Ni 0.500 0.446 0.300
Ni7 Ni 0.500 0.200 0.054
Ni8 Ni 0.500 0.800 0.946
Ni9 Ni 0.500 0.946 0.200
Ni10 Ni 0.500 0.300 0.554
Pm1 Pm 0.000 0.184 0.316
Pm2 Pm 0.000 0.816 0.684
Pm3 Pm 0.000 0.316 0.816
Pm4 Pm 0.000 0.684 0.184
Ir1 Ir 0.000 0.500 0.500
Ir2 Ir 0.000 0.000 0.000
Zn1 Zn 0.000 0.113 0.613
Zn2 Zn 0.000 0.887 0.387
Zn3 Zn 0.000 0.387 0.113
Zn4 Zn 0.000 0.613 0.887
```

Record 9
Density functional theory data (GGA-PBE) for an optimized crystal structure of PmZn3NiIr.

Summary:
* total energy: -0.152 Ha/atom
* symmetry: Cmcm
* E_form: -0.2734 eV/atom
* spin magnetization: 0.00 μB per formula unit

```
data_PmZn3NiIr
_space_group_name_H-M_alt 'P 1'
_space_group_IT_number 1
_space_group_name_Hall 'P 1'
_cell_length_a 5.364
_cell_length_b 6.142
_cell_length_c 7.013
_cell_angle_alpha 115.97
_cell_angle_beta 90.00
_cell_angle_gamma 90.00
loop_
_atom_site_label
_atom_site_type_symbol
_atom_site_fract_x
_atom_site_fract_y
_atom_site_fract_z
Zn1 Zn 0.750 0.860 0.719
Zn2 Zn 0.000 0.296 0.000
Zn3 Zn 0.000 0.704 0.000
Zn4 Zn 0.250 0.140 0.281
Zn5 Zn 0.500 0.296 0.000
Zn6 Zn 0.500 0.704 0.000
Pm1 Pm 0.250 0.728 0.455
Pm2 Pm 0.750 0.272 0.545
Ir1 Ir 0.750 0.653 0.306
Ir2 Ir 0.250 0.347 0.694
Ni1 Ni 0.250 0.939 0.879
Ni2 Ni 0.750 0.061 0.121
```

Record 10
Density functional theory data (GGA-PBE) for an optimized crystal structure of PmZn5Ni2Ir.

Summary:
* total energy: -0.132 Ha/atom
* symmetry: P4/mmm
* E_form: -0.0788 eV/atom
* spin magnetization: 0.00 μB per formula unit

```
data_PmZn5Ni2Ir
_space_group_name_H-M_alt 'P 1'
_space_group_IT_number 1
_space_group_name_Hall 'P 1'
_cell_length_a 4.635
_cell_length_b 4.635
_cell_length_c 6.923
_cell_angle_alpha 90.00
_cell_angle_beta 90.00
_cell_angle_gamma 90.00
loop_
_atom_site_label
_atom_site_type_symbol
_atom_site_fract_x
_atom_site_fract_y
_atom_site_fract_z
Zn1 Zn 0.500 0.000 0.194
Zn2 Zn 0.000 0.500 0.194
Zn3 Zn 0.000 0.500 0.806
Zn4 Zn 0.500 0.500 0.500
Zn5 Zn 0.500 0.000 0.806
Ir1 Ir 0.000 0.000 0.000
Pm1 Pm 0.000 0.000 0.500
Ni1 Ni 0.500 0.500 0.166
Ni2 Ni 0.500 0.500 0.834
```